Record 1
Here is a relaxed structure of Li3B8C8 from Alexandria. Energies are from PBE.

Output
The energy relative to the elements is 97 meV/atom. For the energy above the most stable polymorph in this dataset, the calculation gives 91 meV/atom.

a = 7.7446 Å, b = 7.7446 Å, c = 4.6766 Å
α = 90.23°, β = 90.23°, γ = 40.62°
Last column: nearest neighbours and their distance in Å.
Fractional positions:
Li1 0.0000 0.0000 0.0000  6 C 2.36-2.42, 6 B 2.40-2.44
Li2 0.0000 0.5000 0.5000  6 C 2.33-2.39, 6 B 2.39-2.43
Li3 0.5000 0.0000 0.5000  6 C 2.33-2.39, 6 B 2.39-2.43
B1 0.1195 0.6172 0.1453  3 C 1.55-1.57
B2 0.1200 0.1200 0.3544  3 C 1.55-1.56
B3 0.3815 0.3815 0.6471  3 C 1.55-1.56
B4 0.3828 0.8805 0.8547  3 C 1.55-1.57
B5 0.6172 0.1195 0.1453  3 C 1.55-1.57
B6 0.6185 0.6185 0.3529  3 C 1.55-1.56
B7 0.8800 0.8800 0.6456  3 C 1.55-1.56
B8 0.8805 0.3828 0.8547  3 C 1.55-1.57
C1 0.1295 0.6296 0.8169  3 B 1.55-1.56
C2 0.1318 0.1318 0.6841  3 B 1.55-1.57
C3 0.3673 0.3673 0.3187  3 B 1.55-1.56
C4 0.3704 0.8705 0.1831  3 B 1.55-1.56
C5 0.6296 0.1295 0.8169  3 B 1.55-1.56
C6 0.6327 0.6327 0.6813  3 B 1.55-1.56
C7 0.8682 0.8682 0.3159  3 B 1.55-1.57
C8 0.8705 0.3704 0.1831  3 B 1.55-1.56

Record 2
Here is a relaxed structure of DyTm2Tl3S6 from Alexandria. Energies are from PBE.

Output
Its uncorrected formation energy is -1.489 eV/atom.

a = 6.9177 Å, b = 6.9177 Å, c = 7.8710 Å
α = 98.43°, β = 98.43°, γ = 120.00°
Last column: nearest neighbours and their distance in Å.
Fractional positions:
Dy1 0.0000 0.0000 0.0000  6 S 2.76
Tm1 0.3334 0.6666 0.0000  6 S 2.73
Tm2 0.6666 0.3334 0.0000  6 S 2.73
Tl1 0.1663 0.8337 0.5000  6 S 3.23-3.26
Tl2 0.5000 0.5000 0.5000  6 S 3.23-3.26
Tl3 0.8337 0.1663 0.5000  6 S 3.23-3.26
S1 0.0654 0.4022 0.1962  2 Tm 2.73, 1 Dy 2.76
S2 0.2715 0.2715 0.8045  2 Tm 2.73, 1 Dy 2.76
S3 0.4022 0.0654 0.1962  2 Tm 2.73, 1 Dy 2.76
S4 0.5978 0.9346 0.8038  2 Tm 2.73, 1 Dy 2.76
S5 0.7285 0.7285 0.1955  2 Tm 2.73, 1 Dy 2.76
S6 0.9346 0.5978 0.8038  2 Tm 2.73, 1 Dy 2.76

Record 3
Here is a relaxed structure of Zr4TlIn from Alexandria. Energies are from PBE.

Output
The energy relative to the elements is 203 meV/atom. For the energy above the most stable polymorph in this dataset, the calculation gives 366 meV/atom.

a = 5.8547 Å, b = 5.8547 Å, c = 5.8547 Å
α = 60.00°, β = 60.00°, γ = 60.00°
Last column: nearest neighbours and their distance in Å.
Fractional positions:
Zr1 0.1246 0.1246 0.1246  6 Zr 2.92-2.94
Zr2 0.1246 0.1246 0.6263  6 Zr 2.92-2.94
Zr3 0.1246 0.6263 0.1246  6 Zr 2.92-2.94
Zr4 0.6263 0.1246 0.1246  6 Zr 2.92-2.94
Tl1 0.5000 0.5000 0.5000  12 Zr 3.43, 4 In 3.59
In1 0.7500 0.7500 0.7500  12 Zr 3.43, 4 Tl 3.59

Record 4
Here is a relaxed structure of CoPb2Au from Alexandria. Energies are from PBE.

Output
The energy relative to the elements is 343 meV/atom. For the energy above the most stable polymorph in this dataset, the calculation gives 125 meV/atom.

a = 8.6400 Å, b = 8.6400 Å, c = 8.6400 Å
α = 23.11°, β = 23.11°, γ = 23.11°
Last column: nearest neighbours and their distance in Å.
Fractional positions:
Co1 0.0000 0.0000 0.0000  6 Pb 2.76
Pb1 0.2579 0.2579 0.2579  3 Co 2.76, 3 Au 3.05
Pb2 0.7421 0.7421 0.7421  3 Co 2.76, 3 Au 3.05
Au1 0.5000 0.5000 0.5000  6 Pb 3.05

Quick rundown of DFT total energy, same order as above: -131.10; -63.28; -38.08; -16.43 eV for the cell shown